No. 1
# La3Al2Au4 | Alexandria via LeMat-Bulk | PBE | optimized geometry
# **Energy of formation from the pure elements**: -795.8 meV/atom
# **Space group**: C2/m, No. 12
data_La3Al2Au4
_space_group_name_H-M_alt 'P 1'
_space_group_IT_number 1
_space_group_name_Hall 'P 1'
_cell_length_a 4.6626
_cell_length_b 6.1208
_cell_length_c 8.9172
_cell_angle_alpha 111.71
_cell_angle_beta 90.00
_cell_angle_gamma 112.39
loop_
_atom_site_label
_atom_site_fract_x
_atom_site_fract_y
_atom_site_fract_z
Au1 0.7154 0.4308 0.0726
Au2 0.2846 0.5692 0.9274
Au3 0.0929 0.1857 0.4085
Au4 0.9071 0.8143 0.5915
Al1 0.3372 0.6744 0.6657
Al2 0.6628 0.3256 0.3343
La1 0.3644 0.7288 0.3113
La2 0.6356 0.2712 0.6887
La3 0.0000 0.0000 0.0000


No. 2
# TaMnMoW | Alexandria via LeMat-Bulk | PBE | optimized geometry
# **Energy of formation from the pure elements**: -74.1 meV/atom
# **Space group**: F-43m, No. 216
data_TaMnMoW
_space_group_name_H-M_alt 'P 1'
_space_group_IT_number 1
_space_group_name_Hall 'P 1'
_cell_length_a 4.4134
_cell_length_b 4.4134
_cell_length_c 4.4134
_cell_angle_alpha 60.00
_cell_angle_beta 60.00
_cell_angle_gamma 60.00
loop_
_atom_site_label
_atom_site_fract_x
_atom_site_fract_y
_atom_site_fract_z
Ta1 0.0000 0.0000 0.0000
Mn1 0.2500 0.2500 0.2500
W1 0.5000 0.5000 0.5000
Mo1 0.7500 0.7500 0.7500


No. 3
# CePrPa | Alexandria via LeMat-Bulk | PBE | optimized geometry
# **Energy of formation from the pure elements**: 167.2 meV/atom
# **Space group**: I4mm, No. 107
# **Relative energy among the computed polymorphs**: 0 meV per atom
data_CePrPa
_space_group_name_H-M_alt 'P 1'
_space_group_IT_number 1
_space_group_name_Hall 'P 1'
_cell_length_a 3.3069
_cell_length_b 3.3069
_cell_length_c 8.2714
_cell_angle_alpha 101.53
_cell_angle_beta 101.53
_cell_angle_gamma 90.00
loop_
_atom_site_label
_atom_site_fract_x
_atom_site_fract_y
_atom_site_fract_z
Pr1 0.9912 0.9912 0.9824
Ce1 0.6796 0.6796 0.3593
Pa1 0.3292 0.3292 0.6584


No. 4
# La3PmPr4Te8 | Alexandria via LeMat-Bulk | PBE | optimized geometry
# **Space group**: C2/m, No. 12
# **Raw formation energy**: -1.493 eV per atom
data_La3PmPr4Te8
_space_group_name_H-M_alt 'P 1'
_space_group_IT_number 1
_space_group_name_Hall 'P 1'
_cell_length_a 9.1095
_cell_length_b 9.0672
_cell_length_c 9.0980
_cell_angle_alpha 120.03
_cell_angle_beta 120.04
_cell_angle_gamma 90.00
loop_
_atom_site_label
_atom_site_fract_x
_atom_site_fract_y
_atom_site_fract_z
Te1 0.2469 0.2505 0.9987
Te2 0.2482 0.7495 0.0013
Te3 0.7531 0.7495 0.0013
Te4 0.7517 0.2504 0.5035
Te5 0.2483 0.7496 0.4965
Te6 0.7507 0.7521 0.5014
Te7 0.2493 0.2479 0.4986
Te8 0.7518 0.2505 0.9987
La1 0.5000 0.5000 0.0000
La2 0.5000 0.5000 0.5000
La3 0.0000 0.5000 0.5000
Pm1 0.0000 0.5000 0.0000
Pr1 0.5000 0.0000 0.0000
Pr2 0.0000 0.0000 0.0000
Pr3 0.0000 0.0000 0.5000
Pr4 0.5000 0.0000 0.5000


No. 5
# VFeSi | Alexandria via LeMat-Bulk | PBE | optimized geometry
# **Space group**: F-43m, No. 216
# **Raw formation energy**: -0.304 eV per atom
data_VFeSi
_space_group_name_H-M_alt 'P 1'
_space_group_IT_number 1
_space_group_name_Hall 'P 1'
_cell_length_a 3.8492
_cell_length_b 3.8492
_cell_length_c 3.8492
_cell_angle_alpha 60.00
_cell_angle_beta 60.00
_cell_angle_gamma 60.00
loop_
_atom_site_label
_atom_site_fract_x
_atom_site_fract_y
_atom_site_fract_z
V1 0.0000 0.0000 0.0000
Si1 0.5000 0.5000 0.5000
Fe1 0.2500 0.2500 0.2500